Material: CaHoSe2
Method: DFT, GGA-PBE
State: relaxed

```
CaHoSe2
1.0
4.061 0.000 0.000
-2.030 3.517 0.000
0.000 0.000 14.014
Ca Ho Se
2 2 4
direct
0.333 0.667 0.250
0.667 0.333 0.750
0.000 0.000 0.000
0.000 0.000 0.500
0.333 0.667 0.619
0.333 0.667 0.881
0.667 0.333 0.119
0.667 0.333 0.381
```

Summary:
- Excess energy over the best structure of this formula in the dataset: 41 meV per atom
- Energy relative to the elements, uncorrected: -1.820 eV/atom
- Final energy: -41.66 eV per cell